This record from Alexandria via LeMat-Bulk describes an optimized crystal structure of Sr2ZnPdPb. The functional is PBE.

Computed properties:
- Energy: -3.04 eV per atom
- Total magnetic moment: 0.00 Bohr magnetons per cell
- E_form: -159 kJ/mol of formula units
- Space-group type: P4/mmm, No. 123
- Fermi-level density of states: 4.33 states/eV/f.u.

The structure in POSCAR format:
```
Sr2ZnPdPb
1.0
5.8485 0.0000 0.0000
0.0000 5.8485 0.0000
0.0000 0.0000 4.8276
Sr Zn Pd Pb
2 1 1 1
Cartesian
0.0000 2.9243 0.0000
2.9243 0.0000 0.0000
0.0000 0.0000 2.4138
0.0000 0.0000 0.0000
2.9243 2.9243 2.4138
```

---

This record from Alexandria via LeMat-Bulk describes an optimized crystal structure of TaPdPb3. The functional is PBE.

Computed properties:
- Energy: -4.82 eV per atom
- Total magnetic moment: 0.00 Bohr magnetons per cell
- E_form: 393 kJ/mol of formula units
- ΔE to the lowest computed polymorph: 0.0 kJ/mol of atoms
- Space-group type: Pm-3m, No. 221
- Fermi-level density of states: 4.59 states/eV/f.u.

The structure in POSCAR format:
```
TaPdPb3
1.0
5.4605 0.0000 0.0000
0.0000 5.4605 0.0000
0.0000 0.0000 5.4605
Ta Pd Pb
1 1 3
Cartesian
0.0000 0.0000 0.0000
2.7303 2.7303 2.7303
0.0000 0.0000 2.7303
0.0000 2.7303 0.0000
2.7303 0.0000 0.0000
```

---

This record from Alexandria via LeMat-Bulk describes an optimized crystal structure of TaPdPb3. The functional is PBE.

Computed properties:
- Energy: -4.58 eV per atom
- Total magnetic moment: 0.00 Bohr magnetons per cell
- E_form: 510 kJ/mol of formula units
- ΔE to the lowest computed polymorph: 23.4 kJ/mol of atoms
- Space-group type: Pm-3m, No. 221
- Fermi-level density of states: 6.74 states/eV/f.u.

The structure in POSCAR format:
```
TaPdPb3
1.0
5.2530 0.0000 0.0000
0.0000 5.2530 0.0000
0.0000 0.0000 5.2530
Ta Pd Pb
1 1 3
Cartesian
0.0000 0.0000 0.0000
2.6265 2.6265 2.6265
0.0000 2.6265 2.6265
2.6265 0.0000 2.6265
2.6265 2.6265 0.0000
```

---

This record from Alexandria via LeMat-Bulk describes an optimized crystal structure of Ta3PdPb. The functional is PBE.

Computed properties:
- Energy: -6.45 eV per atom
- Total magnetic moment: 0.00 Bohr magnetons per cell
- E_form: 1180 kJ/mol of formula units
- ΔE to the lowest computed polymorph: 116.1 kJ/mol of atoms
- Space-group type: Pm-3m, No. 221
- Fermi-level density of states: 9.20 states/eV/f.u.

The structure in POSCAR format:
```
Ta3PdPb
1.0
5.0694 0.0000 0.0000
0.0000 5.0694 0.0000
0.0000 0.0000 5.0694
Ta Pd Pb
3 1 1
Cartesian
0.0000 0.0000 2.5347
0.0000 2.5347 0.0000
2.5347 0.0000 0.0000
2.5347 2.5347 2.5347
0.0000 0.0000 0.0000
```

---

This record from Alexandria via LeMat-Bulk describes an optimized crystal structure of Ta2PdPb. The functional is PBE.

Computed properties:
- Energy: -7.60 eV per atom
- Total magnetic moment: 0.00 Bohr magnetons per cell
- E_form: 212 kJ/mol of formula units
- Space-group type: I-42d, No. 122
- Fermi-level density of states: 3.24 states/eV/f.u.

The structure in POSCAR format:
```
Ta2PdPb
1.0
-1.9794 1.9794 10.4269
1.9794 -1.9794 10.4269
1.9794 1.9794 -10.4269
Ta Pd Pb
4 2 2
Cartesian
2.9691 0.9853 -2.6067
0.9853 0.9897 2.6067
-0.9897 0.9941 7.8202
0.9941 0.9897 13.0336
1.9794 0.0000 5.2135
0.0000 0.0000 10.4269
0.0000 0.0000 0.0000
0.0000 1.9794 5.2135
```

---

This record from Alexandria via LeMat-Bulk describes an optimized crystal structure of TaPd9Pb2. The functional is PBE.

Computed properties:
- Energy: -5.85 eV per atom
- Total magnetic moment: 0.00 Bohr magnetons per cell
- E_form: -407 kJ/mol of formula units
- Space-group type: P4/mmm, No. 123
- Fermi-level density of states: 3.82 states/eV/f.u.

The structure in POSCAR format:
```
TaPd9Pb2
1.0
4.0449 0.0000 0.0000
0.0000 4.0449 0.0000
0.0000 0.0000 12.3071
Ta Pd Pb
1 9 2
Cartesian
0.0000 0.0000 0.0000
0.0000 2.0225 1.8778
0.0000 2.0225 6.1536
0.0000 2.0225 10.4293
2.0225 0.0000 1.8778
2.0225 0.0000 6.1536
2.0225 0.0000 10.4293
2.0225 2.0225 0.0000
2.0225 2.0225 4.0088
2.0225 2.0225 8.2984
0.0000 0.0000 4.1023
0.0000 0.0000 8.2048
```

---

Please write out number 5 again, unchanged.
This record from Alexandria via LeMat-Bulk describes an optimized crystal structure of Ta2PdPb. The functional is PBE.

Computed properties:
- Energy: -7.60 eV per atom
- Total magnetic moment: 0.00 Bohr magnetons per cell
- E_form: 212 kJ/mol of formula units
- Space-group type: I-42d, No. 122
- Fermi-level density of states: 3.24 states/eV/f.u.

The structure in POSCAR format:
```
Ta2PdPb
1.0
-1.9794 1.9794 10.4269
1.9794 -1.9794 10.4269
1.9794 1.9794 -10.4269
Ta Pd Pb
4 2 2
Cartesian
2.9691 0.9853 -2.6067
0.9853 0.9897 2.6067
-0.9897 0.9941 7.8202
0.9941 0.9897 13.0336
1.9794 0.0000 5.2135
0.0000 0.0000 10.4269
0.0000 0.0000 0.0000
0.0000 1.9794 5.2135
```

---

Copy entry 2 word for word.
This record from Alexandria via LeMat-Bulk describes an optimized crystal structure of TaPdPb3. The functional is PBE.

Computed properties:
- Energy: -4.82 eV per atom
- Total magnetic moment: 0.00 Bohr magnetons per cell
- E_form: 393 kJ/mol of formula units
- ΔE to the lowest computed polymorph: 0.0 kJ/mol of atoms
- Space-group type: Pm-3m, No. 221
- Fermi-level density of states: 4.59 states/eV/f.u.

The structure in POSCAR format:
```
TaPdPb3
1.0
5.4605 0.0000 0.0000
0.0000 5.4605 0.0000
0.0000 0.0000 5.4605
Ta Pd Pb
1 1 3
Cartesian
0.0000 0.0000 0.0000
2.7303 2.7303 2.7303
0.0000 0.0000 2.7303
0.0000 2.7303 0.0000
2.7303 0.0000 0.0000
```

---

Question: The highest E_form belongs to which entry?
Answer: Ta3PdPb